[1]
CaScSe2N: optimized geometry, PBEsol.

Calculated values
- formation energy without anion corrections (eV/f.u.) = 0.5
- DOS(E_F) (states/eV/f.u.) = 2.10

Cell: 5.284 5.284 4.217 Å, 90.00 90.00 90.00°
Element x y z (fractional)
Ca (0.000, 0.000, 0.000)
Sc (0.500, 0.500, 0.500)
Se (0.000, 0.500, 0.000)
Se (0.500, 0.000, 0.000)
N (0.000, 0.000, 0.500)


[2]
Cr3CdF: optimized geometry, PBEsol.

Calculated values
- formation energy without anion corrections (eV/f.u.) = 7.7
- DOS(E_F) (states/eV/f.u.) = 6.81

Cell: 5.072 5.072 5.072 Å, 90.00 90.00 90.00°
Element x y z (fractional)
Cr (0.000, 0.000, 0.500)
Cr (0.000, 0.500, 0.000)
Cr (0.500, 0.000, 0.000)
Cd (0.000, 0.000, 0.000)
F (0.500, 0.500, 0.500)